1.
Here is a relaxed Cs5Tl2Au5 crystal from Alexandria. Energies are from PBE.

abc: 5.8655 5.8338 15.9871
angles: 89.96 79.43 59.82
Last column: nearest neighbours and their distance in Å.
Element x y z (fractional)
Cs (0.0000, 0.5000, 0.5000)  6 Au 3.68-3.70
Cs (0.6174, 0.6919, 0.0733)  6 Au 3.55-3.93, 3 Tl 3.93
Cs (0.4418, 0.7796, 0.3368)  3 Au 3.53-3.54
Cs (0.5582, 0.2204, 0.6632)  3 Au 3.53-3.54
Cs (0.3826, 0.3081, 0.9267)  6 Au 3.55-3.93, 3 Tl 3.93
Tl (0.1339, 0.9343, 0.7979)  5 Au 3.16-3.40
Tl (0.8661, 0.0657, 0.2021)  5 Au 3.16-3.40
Au (0.7311, 0.1338, 0.4041)  1 Tl 3.16, 1 Cs 3.53
Au (0.8040, 0.5927, 0.7993)  3 Tl 3.32-3.40
Au (0.1960, 0.4073, 0.2007)  3 Tl 3.32-3.40
Au (0.2689, 0.8662, 0.5959)  1 Tl 3.16, 1 Cs 3.53
Au (0.0000, 0.0000, 0.0000)  2 Tl 3.16

Values from the calculation:
The value obtained for the total energy is -27.85 eV/cell. For the energy of formation, the calculation gives -0.21 eV per atom. As for the symmetry: No. 12.


2.
Here is a relaxed TmScTl crystal from Alexandria. Energies are from PBE.

abc: 3.4269 3.4269 7.0381
angles: 104.09 104.09 90.00
Last column: nearest neighbours and their distance in Å.
Element x y z (fractional)
Sc (0.2906, 0.2906, 0.5813)  4 Tl 3.16, 4 Tm 3.36, 4 Sc 3.43
Tl (0.9444, 0.9444, 0.8889)  4 Sc 3.16, 4 Tm 3.31, 4 Tl 3.43
Tm (0.6149, 0.6149, 0.2298)  4 Tl 3.31, 4 Sc 3.36, 4 Tm 3.43

Values from the calculation:
The value obtained for the total energy is -13.78 eV/cell. For the energy of formation, the calculation gives -0.20 eV per atom. As for the energy above the most stable polymorph in this dataset: 0.0540 eV/atom. As for the symmetry: No. 107.


3.
Here is a relaxed Th2CO crystal from Alexandria. Energies are from PBE.

abc: 3.6497 3.6497 12.6130
angles: 90.00 90.00 120.00
Last column: nearest neighbours and their distance in Å.
Element x y z (fractional)
Th (0.3333, 0.6667, 0.3844)  3 C 2.56, 3 O 2.70
Th (0.6667, 0.3333, 0.8844)  3 C 2.56, 3 O 2.70
Th (0.6667, 0.3333, 0.6156)  3 C 2.56, 3 O 2.70
Th (0.3333, 0.6667, 0.1156)  3 C 2.56, 3 O 2.70
C (0.0000, 0.0000, 0.5000)  6 Th 2.56
C (0.0000, 0.0000, 0.0000)  6 Th 2.56
O (0.6667, 0.3333, 0.2500)  6 Th 2.70
O (0.3333, 0.6667, 0.7500)  6 Th 2.70

Values from the calculation:
The value obtained for the total energy is -69.96 eV/cell. The uncorrected formation energy is -1490 meV/atom. As for the energy above the most stable polymorph in this dataset: 0.1351 eV/atom. As for the symmetry: No. 194.


4.
Here is a relaxed Ac2ReN4 crystal from Alexandria. Energies are from PBE.

abc: 6.2414 5.9748 7.3227
angles: 90.00 109.28 90.00
Last column: nearest neighbours and their distance in Å.
Element x y z (fractional)
Ac (0.7041, 0.7500, 0.0405)  4 N 2.56-2.73
Ac (0.2959, 0.2500, 0.9595)  4 N 2.56-2.73
Ac (0.2141, 0.2500, 0.4319)  6 N 2.69-2.94
Ac (0.7859, 0.7500, 0.5681)  6 N 2.69-2.94
Re (0.2482, 0.7500, 0.1987)  4 N 1.86-1.87
Re (0.7518, 0.2500, 0.8013)  4 N 1.86-1.87
N (0.4469, 0.5080, 0.2538)  1 Re 1.86
N (0.0851, 0.7500, 0.9357)  1 Re 1.86
N (0.9149, 0.2500, 0.0643)  1 Re 1.86
N (0.4469, 0.9920, 0.2538)  1 Re 1.86
N (0.9368, 0.2500, 0.6453)  1 Re 1.87
N (0.5531, 0.0080, 0.7462)  1 Re 1.86
N (0.5531, 0.4920, 0.7462)  1 Re 1.86
N (0.0632, 0.7500, 0.3547)  1 Re 1.87

Values from the calculation:
The value obtained for the total energy is -119.48 eV/cell. The uncorrected formation energy is -825 meV/atom. As for the energy above the most stable polymorph in this dataset: 0.0824 eV/atom. As for the symmetry: No. 11.


5.
Here is a relaxed LaTcCl2 crystal from Alexandria. Energies are from PBE.

abc: 9.9282 9.9282 9.9282
angles: 20.47 20.47 20.47
Last column: nearest neighbours and their distance in Å.
Element x y z (fractional)
Cl (0.9875, 0.9875, 0.9875)  3 La 2.90
Cl (0.5125, 0.5125, 0.5125)  3 La 2.90
Tc (0.7500, 0.7500, 0.7500)  6 Cl 3.46, 6 Tc 3.53
La (0.2500, 0.2500, 0.2500)  6 Cl 2.90

Values from the calculation:
The value obtained for the total energy is -20.03 eV/cell. The uncorrected formation energy is -261 meV/atom. As for the energy above the most stable polymorph in this dataset: 0.4986 eV/atom. As for the symmetry: No. 166.


6.
Here is a relaxed SmTl2GeSe4 crystal from Alexandria. Energies are from PBE.

abc: 8.6192 8.6192 8.5024
angles: 119.55 119.55 90.48
Last column: nearest neighbours and their distance in Å.
Element x y z (fractional)
Sm (0.0000, 0.5000, 0.0000)  6 Se 2.92-2.94
Sm (0.0000, 0.5000, 0.5000)  6 Se 2.92-2.94
Tl (0.5000, 0.0000, 0.0000)  6 Se 3.17-3.20
Tl (0.5000, 0.0000, 0.5000)  6 Se 3.17-3.20
Tl (0.0000, 0.0000, 0.5000)  6 Se 3.21-3.27
Tl (0.5000, 0.5000, 0.0000)  6 Se 3.21-3.27
Ge (0.5000, 0.5000, 0.5000)  6 Se 2.86-2.88
Ge (0.0000, 0.0000, 0.0000)  6 Se 2.86-2.88
Se (0.2127, 0.7458, 0.9792)  1 Ge 2.86, 2 Sm 2.92, 2 Tl 3.17
Se (0.7542, 0.2873, 0.5208)  1 Ge 2.86, 2 Sm 2.92, 2 Tl 3.17
Se (0.2458, 0.7127, 0.4792)  1 Ge 2.86, 2 Sm 2.92, 2 Tl 3.17
Se (0.7873, 0.2542, 0.0208)  1 Ge 2.86, 2 Sm 2.92, 2 Tl 3.17
Se (0.7603, 0.7397, 0.9719)  2 Ge 2.88, 1 Sm 2.94, 3 Tl 3.20-3.21
Se (0.7603, 0.7397, 0.5281)  2 Ge 2.88, 1 Sm 2.94, 3 Tl 3.20-3.21
Se (0.2397, 0.2603, 0.4719)  2 Ge 2.88, 1 Sm 2.94, 3 Tl 3.20-3.21
Se (0.2397, 0.2603, 0.0281)  2 Ge 2.88, 1 Sm 2.94, 3 Tl 3.20-3.21

Values from the calculation:
The value obtained for the total energy is -68.22 eV/cell. The uncorrected formation energy is -763 meV/atom. As for the symmetry: No. 74.


7.
Here is a relaxed BaCoI3 crystal from Alexandria. Energies are from PBE.

abc: 5.5418 5.5418 5.5418
angles: 90.00 90.00 90.00
Last column: nearest neighbours and their distance in Å.
Element x y z (fractional)
I (0.0000, 0.5000, 0.0000)  2 Co 2.77
I (0.0000, 0.0000, 0.5000)  2 Co 2.77
I (0.5000, 0.0000, 0.0000)  2 Co 2.77
Co (0.0000, 0.0000, 0.0000)  6 I 2.77
Ba (0.5000, 0.5000, 0.5000)  12 I 3.92

Values from the calculation:
The value obtained for the total energy is -17.33 eV/cell. The uncorrected formation energy is -730 meV/atom. As for the energy above the most stable polymorph in this dataset: 0.0000 eV/atom. As for the symmetry: No. 221.


8.
Here is a relaxed Pm5Pr4Ho3 crystal from Alexandria. Energies are from PBE.

abc: 6.0153 8.7495 9.8353
angles: 105.88 72.19 69.89
Last column: nearest neighbours and their distance in Å.
Element x y z (fractional)
Pm (0.6289, 0.9444, 0.7977)  2 Ho 3.33-3.53, 2 Pm 3.50-3.72, 2 Pr 3.73
Pm (0.5000, 0.5000, 0.5000)  4 Ho 3.01-3.14
Pm (0.2166, 0.4550, 0.1118)  4 Ho 3.26-3.54, 3 Pr 3.48-3.61
Pm (0.7834, 0.5450, 0.8882)  4 Ho 3.26-3.54, 3 Pr 3.48-3.61
Pm (0.3711, 0.0556, 0.2023)  2 Ho 3.33-3.53, 2 Pm 3.50-3.72, 2 Pr 3.73
Pr (0.8593, 0.2240, 0.0574)  2 Pr 3.37-3.72, 3 Pm 3.48-3.61, 1 Ho 3.49
Pr (0.1610, 0.0568, 0.6213)  3 Ho 3.39-3.55, 3 Pr 3.64-3.72, 3 Pm 3.72-3.73
Pr (0.8390, 0.9432, 0.3787)  3 Ho 3.39-3.55, 3 Pr 3.64-3.72, 3 Pm 3.72-3.73
Pr (0.1407, 0.7760, 0.9426)  2 Pr 3.37-3.72, 3 Pm 3.48-3.61, 1 Ho 3.49
Ho (0.5197, 0.6896, 0.2710)  3 Pm 3.14-3.33, 2 Pr 3.39-3.49
Ho (0.0000, 0.5000, 0.5000)  2 Pm 3.01
Ho (0.4803, 0.3104, 0.7290)  3 Pm 3.14-3.33, 2 Pr 3.39-3.49

Values from the calculation:
The value obtained for the total energy is -54.11 eV/cell. For the energy of formation, the calculation gives 0.21 eV per atom. As for the symmetry: No. 12.


9.
Here is a relaxed BaAlRu2 crystal from Alexandria. Energies are from PBE.

abc: 4.5191 4.5191 6.3527
angles: 81.42 81.42 40.85
Last column: nearest neighbours and their distance in Å.
Element x y z (fractional)
Ru (0.0293, 0.0293, 0.9039)  3 Al 2.52-2.70, 2 Ru 2.62
Ru (0.4707, 0.4707, 0.5961)  3 Al 2.52-2.70, 2 Ru 2.62
Ba (0.2500, 0.2500, 0.2500)  6 Ru 3.10-3.36, 2 Ba 3.15
Al (0.7500, 0.7500, 0.7500)  6 Ru 2.52-2.70

Values from the calculation:
The value obtained for the total energy is -23.19 eV/cell. For the energy of formation, the calculation gives 0.26 eV per atom. As for the symmetry: No. 12.


10.
Here is a relaxed Pm12Ag3Te5 crystal from Alexandria. Energies are from PBE.

abc: 15.6734 15.6734 15.6734
angles: 109.47 109.47 109.47
Last column: nearest neighbours and their distance in Å.
Element x y z (fractional)
Ag (0.7500, 0.3750, 0.1250)  8 Pm 3.14-3.48
Ag (0.8750, 0.7500, 0.1250)  8 Pm 3.14-3.48
Ag (0.3750, 0.7500, 0.6250)  8 Pm 3.14-3.48
Ag (0.2500, 0.1250, 0.3750)  8 Pm 3.14-3.48
Ag (0.8750, 0.1250, 0.2500)  8 Pm 3.14-3.48
Ag (0.3750, 0.6250, 0.2500)  8 Pm 3.14-3.48
Ag (0.6250, 0.3750, 0.7500)  8 Pm 3.14-3.48
Ag (0.1250, 0.8750, 0.7500)  8 Pm 3.14-3.48
Ag (0.7500, 0.8750, 0.6250)  8 Pm 3.14-3.48
Ag (0.6250, 0.2500, 0.3750)  8 Pm 3.14-3.48
Ag (0.1250, 0.2500, 0.8750)  8 Pm 3.14-3.48
Ag (0.2500, 0.6250, 0.8750)  8 Pm 3.14-3.48
Te (0.1250, 0.3750, 0.2500)  4 Pm 3.03
Te (0.0000, 0.5000, 0.0000)  6 Pm 3.06
Te (0.0000, 0.0000, 0.0000)  6 Pm 3.06
Te (0.3750, 0.2500, 0.1250)  4 Pm 3.03
Te (0.5000, 0.0000, 0.5000)  6 Pm 3.06
Te (0.5000, 0.5000, 0.0000)  6 Pm 3.06
Te (0.1250, 0.7500, 0.3750)  4 Pm 3.03
Te (0.7500, 0.1250, 0.8750)  4 Pm 3.03
Te (0.7500, 0.6250, 0.3750)  4 Pm 3.03
Te (0.3750, 0.1250, 0.7500)  4 Pm 3.03
Te (0.6250, 0.8750, 0.2500)  4 Pm 3.03
Te (0.5000, 0.5000, 0.5000)  6 Pm 3.06
Te (0.5000, 0.0000, 0.0000)  6 Pm 3.06
Te (0.0000, 0.0000, 0.5000)  6 Pm 3.06
Te (0.2500, 0.3750, 0.6250)  4 Pm 3.03
Te (0.2500, 0.8750, 0.1250)  4 Pm 3.03
Te (0.0000, 0.5000, 0.5000)  6 Pm 3.06
Te (0.8750, 0.2500, 0.6250)  4 Pm 3.03
Te (0.6250, 0.7500, 0.8750)  4 Pm 3.03
Te (0.8750, 0.6250, 0.7500)  4 Pm 3.03
Pm (0.7276, 0.1305, 0.0610)  2 Te 3.03-3.06, 1 Ag 3.14
Pm (0.3334, 0.5610, 0.4305)  2 Te 3.03-3.06, 1 Ag 3.14
Pm (0.9390, 0.3695, 0.2724)  2 Te 3.03-3.06, 1 Ag 3.14
Pm (0.5610, 0.2276, 0.1305)  2 Te 3.03-3.06, 1 Ag 3.14
Pm (0.5970, 0.7276, 0.6666)  2 Te 3.03-3.06, 1 Ag 3.14
Pm (0.9390, 0.5695, 0.1666)  2 Te 3.03-3.06, 1 Ag 3.14
Pm (0.3334, 0.7724, 0.4029)  2 Te 3.03-3.06, 1 Ag 3.14
Pm (0.0695, 0.9030, 0.1305)  2 Te 3.03-3.06, 1 Ag 3.14
Pm (0.5695, 0.9390, 0.6666)  2 Te 3.03-3.06, 1 Ag 3.14
Pm (0.7276, 0.5970, 0.1666)  2 Te 3.03-3.06, 1 Ag 3.14
Pm (0.7724, 0.4390, 0.3695)  2 Te 3.03-3.06, 1 Ag 3.14
Pm (0.8334, 0.9305, 0.0610)  2 Te 3.03-3.06, 1 Ag 3.14
Pm (0.1305, 0.7276, 0.5610)  2 Te 3.03-3.06, 1 Ag 3.14
Pm (0.3695, 0.4305, 0.0970)  2 Te 3.03-3.06, 1 Ag 3.14
Pm (0.0970, 0.9305, 0.3695)  2 Te 3.03-3.06, 1 Ag 3.14
Pm (0.4029, 0.1305, 0.5695)  2 Te 3.03-3.06, 1 Ag 3.14
Pm (0.0970, 0.1666, 0.2276)  2 Te 3.03-3.06, 1 Ag 3.14
Pm (0.4390, 0.6666, 0.0695)  2 Te 3.03-3.06, 1 Ag 3.14
Pm (0.8334, 0.9030, 0.2724)  2 Te 3.03-3.06, 1 Ag 3.14
Pm (0.1305, 0.4029, 0.0695)  2 Te 3.03-3.06, 1 Ag 3.14
Pm (0.3695, 0.9390, 0.7724)  2 Te 3.03-3.06, 1 Ag 3.14
Pm (0.5695, 0.6305, 0.4029)  2 Te 3.03-3.06, 1 Ag 3.14
Pm (0.9305, 0.8334, 0.5610)  2 Te 3.03-3.06, 1 Ag 3.14
Pm (0.7724, 0.3334, 0.9030)  2 Te 3.03-3.06, 1 Ag 3.14
Pm (0.4305, 0.3695, 0.5970)  2 Te 3.03-3.06, 1 Ag 3.14
Pm (0.0695, 0.1666, 0.4390)  2 Te 3.03-3.06, 1 Ag 3.14
Pm (0.2276, 0.6666, 0.0970)  2 Te 3.03-3.06, 1 Ag 3.14
Pm (0.1666, 0.0970, 0.7276)  2 Te 3.03-3.06, 1 Ag 3.14
Pm (0.6305, 0.0610, 0.2276)  2 Te 3.03-3.06, 1 Ag 3.14
Pm (0.8695, 0.5970, 0.9305)  2 Te 3.03-3.06, 1 Ag 3.14
Pm (0.5610, 0.3334, 0.9305)  2 Te 3.03-3.06, 1 Ag 3.14
Pm (0.5970, 0.8695, 0.4305)  2 Te 3.03-3.06, 1 Ag 3.14
Pm (0.9030, 0.8334, 0.7724)  2 Te 3.03-3.06, 1 Ag 3.14
Pm (0.9030, 0.0695, 0.6305)  2 Te 3.03-3.06, 1 Ag 3.14
Pm (0.8695, 0.2724, 0.4390)  2 Te 3.03-3.06, 1 Ag 3.14
Pm (0.1666, 0.0695, 0.9390)  2 Te 3.03-3.06, 1 Ag 3.14
Pm (0.6305, 0.5695, 0.9030)  2 Te 3.03-3.06, 1 Ag 3.14
Pm (0.4305, 0.0610, 0.3334)  2 Te 3.03-3.06, 1 Ag 3.14
Pm (0.2724, 0.4029, 0.8334)  2 Te 3.03-3.06, 1 Ag 3.14
Pm (0.2276, 0.5610, 0.6305)  2 Te 3.03-3.06, 1 Ag 3.14
Pm (0.9305, 0.0970, 0.8695)  2 Te 3.03-3.06, 1 Ag 3.14
Pm (0.6666, 0.2276, 0.5970)  2 Te 3.03-3.06, 1 Ag 3.14
Pm (0.4390, 0.7724, 0.8695)  2 Te 3.03-3.06, 1 Ag 3.14
Pm (0.0610, 0.4305, 0.8334)  2 Te 3.03-3.06, 1 Ag 3.14
Pm (0.4029, 0.2724, 0.3334)  2 Te 3.03-3.06, 1 Ag 3.14
Pm (0.0610, 0.6305, 0.7276)  2 Te 3.03-3.06, 1 Ag 3.14
Pm (0.6666, 0.4390, 0.5695)  2 Te 3.03-3.06, 1 Ag 3.14
Pm (0.2724, 0.8695, 0.9390)  2 Te 3.03-3.06, 1 Ag 3.14

Values from the calculation:
The value obtained for the total energy is -352.58 eV/cell. The uncorrected formation energy is -344 meV/atom. As for the symmetry: No. 230.


11.
Here is a relaxed AcCeSm crystal from Alexandria. Energies are from PBE.

abc: 3.7118 3.7118 9.0074
angles: 90.00 90.00 120.00
Last column: nearest neighbours and their distance in Å.
Element x y z (fractional)
Ac (0.0000, 0.0000, 0.9934)  3 Ce 3.68, 6 Ac 3.71, 3 Sm 3.83
Ce (0.3333, 0.6667, 0.6608)  3 Sm 3.56, 3 Ac 3.68, 6 Ce 3.71
Sm (0.6667, 0.3333, 0.3459)  3 Ce 3.56, 6 Sm 3.71, 3 Ac 3.83

Values from the calculation:
The value obtained for the total energy is -14.38 eV/cell. For the energy of formation, the calculation gives 0.13 eV per atom. As for the energy above the most stable polymorph in this dataset: 0.0104 eV/atom. As for the symmetry: No. 156.


12.
Here is a relaxed MgAl2SiSb crystal from Alexandria. Energies are from PBE.

abc: 5.0920 4.9049 5.0920
angles: 90.00 90.00 90.00
Last column: nearest neighbours and their distance in Å.
Element x y z (fractional)
Mg (0.0000, 0.0000, 0.0000)  2 Si 2.45, 4 Al 2.55
Sb (0.5000, 0.5000, 0.5000)  8 Al 3.54, 4 Si 3.60
Si (0.0000, 0.5000, 0.0000)  2 Mg 2.45
Al (0.0000, 0.0000, 0.5000)  2 Mg 2.55
Al (0.5000, 0.0000, 0.0000)  2 Mg 2.55

Values from the calculation:
The value obtained for the total energy is -14.34 eV/cell. The uncorrected formation energy is 858 meV/atom. As for the symmetry: No. 123.


In the order shown, the computed DOS(E_F) values come out to 4.6; 3.7; 1.5; 3.1; 2.9; 5.1; 1.2; 20.0; 4.1; 22.4; 7.4; 3.9 states/eV/f.u..